## i
VASP calculation (GGA-PBE) on a relaxed structure of SrCu2Cl.

Calculated values
The crystal system is monoclinic. As for the space-group type: No. 12. Its density of states at the Fermi level is 1.1 states/eV/f.u. The calculated density comes out at 4642 kg/m3. The magnetic moment comes out at 0.00 μB/f.u.

Cell: 6.382 6.382 4.130 Å, 108.41 108.41 34.31°
Element x y z (fractional)
Sr  0.000  0.000  0.000
Cu  0.251  0.251  0.757
Cu  0.749  0.749  0.243
Cl  0.500  0.500  0.500

## ii
VASP calculation (GGA-PBE) on a relaxed structure of SrCu2Cl.

Calculated values
The crystal system is triclinic. As for the space-group type: No. 1. Its density of states at the Fermi level is 0.6 states/eV/f.u. The calculated density comes out at 4152 kg/m3. The magnetic moment comes out at 0.00 μB/f.u.

Cell: 4.226 4.238 6.857 Å, 91.32 106.69 119.77°
Element x y z (fractional)
Sr  0.000  0.000  0.000
Cu  0.119  0.550  0.668
Cu  0.466  0.223  0.689
Cl  0.832  0.425  0.254

What is the stability order? It is ii, i, from most stable to least stable.

## i
VASP calculation (GGA-PBE) on a relaxed structure of SrCu2Cl.

Calculated values
The crystal system is trigonal. As for the space-group type: No. 166. Its density of states at the Fermi level is 3.0 states/eV/f.u. The calculated density comes out at 4503 kg/m3. The magnetic moment comes out at 0.00 μB/f.u.

Cell: 5.859 5.859 5.859 Å, 45.21 45.21 45.21°
Element x y z (fractional)
Sr  0.000  0.000  0.000
Cu  0.204  0.204  0.204
Cu  0.796  0.796  0.796
Cl  0.500  0.500  0.500

## ii
VASP calculation (GGA-PBE) on a relaxed structure of SrCu2Cl.

Calculated values
The crystal system is tetragonal. As for the space-group type: No. 99. Its density of states at the Fermi level is 0.6 states/eV/f.u. The calculated density comes out at 4327 kg/m3. The magnetic moment comes out at 0.00 μB/f.u.

Cell: 3.568 3.568 7.542 Å, 90.00 90.00 90.00°
Element x y z (fractional)
Sr  0.000  0.000  0.000
Cu  0.000  0.000  0.633
Cu  0.500  0.500  0.685
Cl  0.500  0.500  0.194

What is the stability order? It is ii, i, from most stable to least stable.

## i
VASP calculation (GGA-PBE) on a relaxed structure of SrCuCl.

Calculated values
The crystal system is cubic. As for the space-group type: No. 216. Its density of states at the Fermi level is 0.0 states/eV/f.u. The calculated density comes out at 3390 kg/m3. The magnetic moment comes out at 0.00 μB/f.u.

Cell: 5.057 5.057 5.057 Å, 60.00 60.00 60.00°
Element x y z (fractional)
Sr  0.000  0.000  0.000
Cu  0.750  0.750  0.750
Cl  0.250  0.250  0.250

## ii
VASP calculation (GGA-PBE) on a relaxed structure of SrCuCl.

Calculated values
The crystal system is tetragonal. As for the space-group type: No. 107. The calculated density comes out at 3627 kg/m3. The magnetic moment comes out at 0.00 μB/f.u.

Cell: 6.753 6.753 6.753 Å, 148.15 148.15 45.66°
Element x y z (fractional)
Sr  0.000  0.000  0.000
Cu  0.651  0.651  0.000
Cl  0.378  0.378  0.000

## iii
VASP calculation (GGA-PBE) on a relaxed structure of SrCuCl.

Calculated values
The crystal system is orthorhombic. As for the space-group type: No. 38. Its density of states at the Fermi level is 1.0 states/eV/f.u. The calculated density comes out at 3286 kg/m3. The magnetic moment comes out at 0.00 μB/f.u.

Cell: 12.107 4.240 4.240 Å, 60.04 90.00 90.00°
Element x y z (fractional)
Sr  0.159  0.000  0.000
Sr  0.841  0.000  0.000
Cu  0.000  0.666  0.666
Cu  0.500  0.665  0.665
Cl  0.322  0.667  0.667
Cl  0.678  0.667  0.667

## iv
VASP calculation (GGA-PBE) on a relaxed structure of SrCuCl.

Calculated values
The crystal system is cubic. As for the space-group type: No. 216. The calculated density comes out at 3511 kg/m3. The magnetic moment comes out at 0.00 μB/f.u.

Cell: 4.997 4.997 4.997 Å, 60.00 60.00 60.00°
Element x y z (fractional)
Sr  0.000  0.000  0.000
Cu  0.750  0.750  0.750
Cl  0.500  0.500  0.500

What is the stability order? It is i, ii, iii, iv, from most stable to least stable.

## i
VASP calculation (GGA-PBE) on a relaxed structure of SrCuCl.

Calculated values
The crystal system is trigonal. As for the space-group type: No. 156. Its density of states at the Fermi level is 0.0 states/eV/f.u. The calculated density comes out at 3050 kg/m3. The magnetic moment comes out at 0.00 μB/f.u.

Cell: 4.346 4.346 6.212 Å, 90.00 90.00 120.00°
Element x y z (fractional)
Sr  0.000  0.000  0.000
Cu  0.333  0.667  0.698
Cl  0.667  0.333  0.239

## ii
VASP calculation (GGA-PBE) on a relaxed structure of SrCuCl.

Calculated values
The crystal system is cubic. As for the space-group type: No. 216. The calculated density comes out at 3547 kg/m3. The magnetic moment comes out at 0.00 μB/f.u.

Cell: 4.981 4.981 4.981 Å, 60.00 60.00 60.00°
Element x y z (fractional)
Sr  0.000  0.000  0.000
Cu  0.500  0.500  0.500
Cl  0.750  0.750  0.750

What is the stability order? It is i, ii, from most stable to least stable.